1.
Density functional theory data (GGA-PBE) for CaBe2Ru after structural relaxation.

Calculated values
DFT total energy = -4.143 eV per atom
energy of formation from the pure elements = 539 meV per atom
polymorph energy (0 for the lowest one) = 672 meV per atom
SG = No. 216
calculated volume = 14.61 Å³/atom

a = 4.356 Å, b = 4.356 Å, c = 4.356 Å
α = 60.00°, β = 60.00°, γ = 60.00°
Fractional coordinates of all 4 atoms:
Be (0.250, 0.250, 0.250)
Be (0.000, 0.000, 0.000)
Ru (0.750, 0.750, 0.750)
Ca (0.500, 0.500, 0.500)


2.
Density functional theory data (GGA-PBE) for DyTeAu4 after structural relaxation.

Calculated values
DFT total energy = -3.874 eV per atom
SG = No. 216
calculated volume = 21.42 Å³/atom
E_form (uncorrected) = -0.398 eV per atom

a = 5.664 Å, b = 5.664 Å, c = 5.664 Å
α = 60.00°, β = 60.00°, γ = 60.00°
Fractional coordinates of all 6 atoms:
Au (0.124, 0.625, 0.625)
Au (0.625, 0.625, 0.124)
Au (0.625, 0.625, 0.625)
Au (0.625, 0.124, 0.625)
Dy (0.000, 0.000, 0.000)
Te (0.250, 0.250, 0.250)


3.
Density functional theory data (GGA-PBE) for AcLaNdGa after structural relaxation.

Calculated values
DFT total energy = -4.226 eV per atom
energy of formation from the pure elements = -18 meV per atom
SG = No. 216
calculated volume = 31.83 Å³/atom

a = 5.647 Å, b = 5.647 Å, c = 5.647 Å
α = 60.00°, β = 60.00°, γ = 60.00°
Fractional coordinates of all 4 atoms:
Ga (0.250, 0.250, 0.250)
Ac (0.750, 0.750, 0.750)
La (0.500, 0.500, 0.500)
Nd (0.000, 0.000, 0.000)


4.
Density functional theory data (GGA-PBE) for PaReI2O6 after structural relaxation.

Calculated values
DFT total energy = -7.099 eV per atom
SG = No. 2
calculated volume = 23.89 Å³/atom
E_form (uncorrected) = -1.619 eV per atom

a = 5.907 Å, b = 5.743 Å, c = 11.013 Å
α = 43.91°, β = 74.44°, γ = 90.00°
Fractional coordinates of all 10 atoms:
O (0.727, 0.294, 0.987)
O (0.287, 0.292, 0.987)
O (0.858, 0.611, 0.284)
O (0.713, 0.708, 0.013)
O (0.142, 0.389, 0.716)
O (0.273, 0.706, 0.013)
Pa (0.000, 0.000, 0.000)
I (0.711, 0.153, 0.578)
I (0.289, 0.847, 0.422)
Re (0.500, 0.500, 0.000)


5.
Density functional theory data (GGA-PBE) for Tm5In4Ir after structural relaxation.

Calculated values
DFT total energy = -4.772 eV per atom
energy of formation from the pure elements = -554 meV per atom
SG = No. 123
calculated volume = 24.36 Å³/atom

a = 3.447 Å, b = 3.447 Å, c = 20.505 Å
α = 90.00°, β = 90.00°, γ = 90.00°
Fractional coordinates of all 10 atoms:
Tm (0.500, 0.500, 0.709)
Tm (0.500, 0.500, 0.291)
Tm (0.500, 0.500, 0.921)
Tm (0.500, 0.500, 0.079)
Tm (0.500, 0.500, 0.500)
Ir (0.000, 0.000, 0.000)
In (0.000, 0.000, 0.604)
In (0.000, 0.000, 0.188)
In (0.000, 0.000, 0.396)
In (0.000, 0.000, 0.812)


6.
Density functional theory data (GGA-PBE) for Tb2Dy3YHo6 after structural relaxation.

Calculated values
DFT total energy = -4.732 eV per atom
energy of formation from the pure elements = 18 meV per atom
SG = No. 12
calculated volume = 31.30 Å³/atom

a = 6.127 Å, b = 6.127 Å, c = 11.726 Å
α = 94.97°, β = 94.97°, γ = 119.94°
Fractional coordinates of all 12 atoms:
Ho (0.916, 0.582, 0.749)
Ho (0.418, 0.084, 0.251)
Ho (0.250, 0.250, 0.749)
Ho (0.084, 0.418, 0.251)
Ho (0.750, 0.750, 0.251)
Ho (0.582, 0.916, 0.749)
Tb (0.333, 0.667, 0.000)
Tb (0.667, 0.333, 0.000)
Y (0.000, 0.000, 0.000)
Dy (0.167, 0.833, 0.500)
Dy (0.500, 0.500, 0.500)
Dy (0.833, 0.167, 0.500)


7.
Density functional theory data (GGA-PBE) for PbSe2Cl after structural relaxation.

Calculated values
DFT total energy = -3.478 eV per atom
polymorph energy (0 for the lowest one) = 77 meV per atom
SG = No. 99
calculated volume = 30.58 Å³/atom
E_form (uncorrected) = -0.347 eV per atom

a = 3.944 Å, b = 3.939 Å, c = 7.872 Å
α = 90.00°, β = 90.00°, γ = 90.00°
Fractional coordinates of all 4 atoms:
Pb (0.500, 0.500, 0.742)
Se (0.000, 0.000, 0.067)
Se (0.500, 0.500, 0.102)
Cl (0.000, 0.000, 0.589)


8.
Density functional theory data (GGA-PBE) for Th2TiGe4Rh3 after structural relaxation.

Calculated values
DFT total energy = -7.158 eV per atom
energy of formation from the pure elements = -832 meV per atom
SG = No. 115
calculated volume = 18.96 Å³/atom

a = 4.206 Å, b = 4.206 Å, c = 10.721 Å
α = 90.00°, β = 90.00°, γ = 90.00°
Fractional coordinates of all 10 atoms:
Ge (0.500, 0.000, 0.643)
Ge (0.000, 0.500, 0.357)
Ge (0.500, 0.500, 0.000)
Ge (0.000, 0.000, 0.000)
Rh (0.500, 0.000, 0.874)
Rh (0.000, 0.500, 0.126)
Rh (0.000, 0.000, 0.500)
Th (0.000, 0.500, 0.761)
Th (0.500, 0.000, 0.239)
Ti (0.500, 0.500, 0.500)


9.
Density functional theory data (GGA-PBE) for Cs3Ag5F12 after structural relaxation.

Calculated values
DFT total energy = -3.560 eV per atom
SG = No. 230
calculated volume = 20.77 Å³/atom
E_form (uncorrected) = -1.597 eV per atom

a = 12.924 Å, b = 12.924 Å, c = 12.924 Å
α = 109.47°, β = 109.47°, γ = 109.47°
Fractional coordinates of all 80 atoms:
Ag (0.625, 0.750, 0.875)
Ag (0.000, 0.500, 0.000)
Ag (0.000, 0.000, 0.500)
Ag (0.500, 0.500, 0.500)
Ag (0.000, 0.000, 0.000)
Ag (0.250, 0.375, 0.625)
Ag (0.875, 0.625, 0.750)
Ag (0.750, 0.125, 0.875)
Ag (0.125, 0.750, 0.375)
Ag (0.125, 0.375, 0.250)
Ag (0.250, 0.875, 0.125)
Ag (0.375, 0.250, 0.125)
Ag (0.500, 0.000, 0.000)
Ag (0.000, 0.500, 0.500)
Ag (0.625, 0.875, 0.250)
Ag (0.500, 0.500, 0.000)
Ag (0.750, 0.625, 0.375)
Ag (0.500, 0.000, 0.500)
Ag (0.375, 0.125, 0.750)
Ag (0.875, 0.250, 0.625)
Cs (0.625, 0.375, 0.750)
Cs (0.375, 0.750, 0.625)
Cs (0.250, 0.125, 0.375)
Cs (0.875, 0.750, 0.125)
Cs (0.875, 0.125, 0.250)
Cs (0.375, 0.625, 0.250)
Cs (0.250, 0.625, 0.875)
Cs (0.125, 0.875, 0.750)
Cs (0.625, 0.250, 0.375)
Cs (0.750, 0.375, 0.125)
Cs (0.125, 0.250, 0.875)
Cs (0.750, 0.875, 0.625)
F (0.576, 0.679, 0.670)
F (0.991, 0.397, 0.321)
F (0.321, 0.424, 0.830)
F (0.094, 0.170, 0.491)
F (0.679, 0.103, 0.009)
F (0.406, 0.397, 0.576)
F (0.924, 0.094, 0.603)
F (0.424, 0.321, 0.330)
F (0.821, 0.330, 0.924)
F (0.103, 0.679, 0.509)
F (0.397, 0.406, 0.076)
F (0.991, 0.594, 0.170)
F (0.830, 0.906, 0.009)
F (0.509, 0.330, 0.906)
F (0.594, 0.991, 0.670)
F (0.330, 0.821, 0.424)
F (0.076, 0.170, 0.179)
F (0.321, 0.897, 0.991)
F (0.594, 0.603, 0.424)
F (0.603, 0.009, 0.179)
F (0.330, 0.509, 0.406)
F (0.509, 0.179, 0.103)
F (0.094, 0.924, 0.103)
F (0.491, 0.821, 0.897)
F (0.897, 0.576, 0.906)
F (0.924, 0.830, 0.821)
F (0.821, 0.491, 0.397)
F (0.179, 0.509, 0.603)
F (0.170, 0.094, 0.991)
F (0.009, 0.406, 0.830)
F (0.830, 0.924, 0.321)
F (0.603, 0.594, 0.924)
F (0.491, 0.670, 0.094)
F (0.679, 0.576, 0.170)
F (0.103, 0.424, 0.094)
F (0.897, 0.321, 0.491)
F (0.906, 0.076, 0.897)
F (0.906, 0.830, 0.509)
F (0.576, 0.897, 0.406)
F (0.424, 0.103, 0.594)
F (0.179, 0.670, 0.076)
F (0.009, 0.603, 0.679)
F (0.670, 0.179, 0.576)
F (0.170, 0.076, 0.679)
F (0.670, 0.491, 0.594)
F (0.406, 0.009, 0.330)
F (0.397, 0.991, 0.821)
F (0.076, 0.906, 0.397)


10.
Density functional theory data (GGA-PBE) for Mn2HgN after structural relaxation.

Calculated values
DFT total energy = -5.113 eV per atom
polymorph energy (0 for the lowest one) = 1446 meV per atom
SG = No. 225
calculated volume = 12.57 Å³/atom
E_form (uncorrected) = 1.628 eV per atom

a = 4.143 Å, b = 4.143 Å, c = 4.143 Å
α = 60.00°, β = 60.00°, γ = 60.00°
Fractional coordinates of all 4 atoms:
N (0.000, 0.000, 0.000)
Hg (0.500, 0.500, 0.500)
Mn (0.250, 0.250, 0.250)
Mn (0.750, 0.750, 0.750)


11.
Density functional theory data (GGA-PBE) for In2RuSe after structural relaxation.

Calculated values
DFT total energy = -4.450 eV per atom
SG = No. 123
calculated volume = 19.53 Å³/atom
E_form (uncorrected) = 0.110 eV per atom

a = 3.468 Å, b = 3.467 Å, c = 6.499 Å
α = 90.00°, β = 90.00°, γ = 90.00°
Fractional coordinates of all 4 atoms:
Ru (0.500, 0.500, 0.250)
Se (0.500, 0.500, 0.750)
In (0.000, 0.000, 0.020)
In (0.000, 0.000, 0.480)


12.
Density functional theory data (GGA-PBE) for PmNd2SmTm after structural relaxation.

Calculated values
DFT total energy = -4.431 eV per atom
energy of formation from the pure elements = 265 meV per atom
SG = No. 13
calculated volume = 34.65 Å³/atom

a = 6.665 Å, b = 8.292 Å, c = 6.271 Å
α = 90.65°, β = 90.00°, γ = 90.00°
Fractional coordinates of all 10 atoms:
Tm (0.163, 0.500, 0.750)
Tm (0.837, 0.500, 0.250)
Pm (0.574, 0.000, 0.250)
Pm (0.426, 0.000, 0.750)
Nd (0.696, 0.307, 0.746)
Nd (0.304, 0.693, 0.254)
Nd (0.304, 0.307, 0.246)
Nd (0.696, 0.693, 0.754)
Sm (0.000, 0.000, 0.500)
Sm (0.000, 0.000, 0.000)